Entry from the Alexandria database: a relaxed structure of CoPS (PBE).

Cell: 3.4974 3.4974 4.3075 Å, 94.67 94.67 51.21°
Fractional positions:
Co 0.0000 0.0000 0.0000
P 0.2854 0.2854 0.7379
S 0.7255 0.7255 0.3041

SG: Cm
Total energy (eV/atom): -5.6913
Formation energy from raw total energies (eV/f.u.): -0.4
Total moment (μB/cell): 0.00